Material: LaDyGa2Cu2
Method: DFT, PBE-GGA
State: optimized geometry

a b c (Å): 4.4036 4.4036 7.4781
angles (deg): 90.00 90.00 120.00
Space group P-3m1 (No. 164)
Symmetry-distinct sites (fractional):
La 0.0000 0.0000 0.0000 (multiplicity 1)
Dy 0.0000 0.0000 0.5000 (multiplicity 1)
Ga 0.3333 0.6667 0.2777 (multiplicity 2)
Cu 0.3333 0.6667 0.7116 (multiplicity 2)

Computed properties:
For the formation enthalpy at 0 K, the calculation gives -0.48 eV per atom. The electronic total energy is -26.66 eV per cell.